#1
A plane-wave DFT calculation with PBE was carried out for Li3SiP after structural relaxation.

Lattice parameters (Å, degrees): 4.5583 4.5583 4.5583 90.00 90.00 90.00
Last column: nearest neighbours and their distance in Å.
Space group Pm-3m (No. 221)
Unique sites:
Li 0.0000 0.0000 0.5000 (multiplicity 3)  2 P 2.28
Si 0.5000 0.5000 0.5000 (multiplicity 1)  12 Li 3.22
P 0.0000 0.0000 0.0000 (multiplicity 1)  6 Li 2.28

Results
total magnetic moment = 0.000 Bohr magnetons per cell

#2
A plane-wave DFT calculation with PBE was carried out for Li3SiP after structural relaxation.

Lattice parameters (Å, degrees): 4.6212 4.6212 4.6212 90.00 90.00 90.00
Last column: nearest neighbours and their distance in Å.
Space group Pm-3m (No. 221)
Unique sites:
Li 0.0000 0.0000 0.5000 (multiplicity 3)  2 Si 2.31
Si 0.0000 0.0000 0.0000 (multiplicity 1)  6 Li 2.31
P 0.5000 0.5000 0.5000 (multiplicity 1)  12 Li 3.27

Results
total magnetic moment = 0.000 Bohr magnetons per cell

Relative energy of each structure, in kJ/mol of atoms: #1 0.0; #2 34.3.

#1
A plane-wave DFT calculation with PBE was carried out for LiSm2P after structural relaxation.

Lattice parameters (Å, degrees): 3.8560 3.8560 30.4663 90.00 90.00 120.00
Last column: nearest neighbours and their distance in Å.
Space group R-3m (No. 166, hexagonal axes)
Unique sites:
Li 0.0000 0.0000 0.0000 (multiplicity 3)  2 Sm 3.44
Sm 0.0000 0.0000 0.1129 (multiplicity 6)  3 P 2.76
P 0.0000 0.0000 0.5000 (multiplicity 3)  6 Sm 2.76

Results
total magnetic moment = 0.001 Bohr magnetons per cell

#2
A plane-wave DFT calculation with PBE was carried out for LiSm2P after structural relaxation.

Lattice parameters (Å, degrees): 4.8187 4.8187 3.8506 90.00 90.00 90.00
Last column: nearest neighbours and their distance in Å.
Space group P4/mmm (No. 123)
Unique sites:
Li 0.0000 0.0000 0.0000 (multiplicity 1)  8 Sm 3.08, 4 P 3.41
Sm 0.0000 0.5000 0.5000 (multiplicity 2)  4 P 3.08, 4 Li 3.08, 4 Sm 3.41
P 0.5000 0.5000 0.0000 (multiplicity 1)  8 Sm 3.08, 4 Li 3.41

Results
total magnetic moment = 0.000 Bohr magnetons per cell

Relative energy of each structure, in kJ/mol of atoms: #1 4.2; #2 0.0.

#1
A plane-wave DFT calculation with PBE was carried out for Li2SnP after structural relaxation.

Lattice parameters (Å, degrees): 6.5322 6.5322 6.5322 90.00 90.00 90.00
Last column: nearest neighbours and their distance in Å.
Space group Fm-3m (No. 225)
Unique sites:
Li 0.2500 0.2500 0.2500 (multiplicity 8)  4 Sn 2.83, 4 P 2.83
Sn 0.0000 0.0000 0.0000 (multiplicity 4)  8 Li 2.83
P 0.0000 0.0000 0.5000 (multiplicity 4)  8 Li 2.83

Results
total magnetic moment = 0.000 Bohr magnetons per cell

#2
A plane-wave DFT calculation with PBE was carried out for Li2SnP after structural relaxation.

Lattice parameters (Å, degrees): 3.3071 3.3071 6.3178 90.00 90.00 90.00
Last column: nearest neighbours and their distance in Å.
Space group P4/mmm (No. 123)
Unique sites:
Li 0.0000 0.0000 0.1999 (multiplicity 2)  1 Li 2.53, 4 P 2.66
Sn 0.5000 0.5000 0.5000 (multiplicity 1)  8 Li 3.01, 2 P 3.16, 4 Sn 3.31
P 0.5000 0.5000 0.0000 (multiplicity 1)  8 Li 2.66

Results
total magnetic moment = 0.000 Bohr magnetons per cell

Relative energy of each structure, in kJ/mol of atoms: #1 4.7; #2 0.0.